A | Compound: Si2PdPt
Source: OQMD
Functional: PBE
Structure: optimized geometry

Computed properties:
For the total magnetization, the calculation gives 0.00 μB per formula unit.

Unit cell a=4.527 b=3.133 c=8.291 alpha=90.00 beta=90.29 gamma=90.00
Space group P2_1/m (No. 11)
Symmetry-distinct sites (fractional):
1 Si 0.249 0.250 0.057 [2 per cell]
2 Si 0.250 0.250 0.555 [2 per cell]
3 Pd 0.249 0.750 0.821 [2 per cell]
4 Pt 0.249 0.750 0.328 [2 per cell]



B | Compound: Si2PdPt
Source: OQMD
Functional: PBE
Structure: optimized geometry

Computed properties:
For the total magnetization, the calculation gives 0.00 μB per formula unit.

Unit cell a=4.318 b=8.477 c=3.191 alpha=90.00 beta=90.00 gamma=90.00
Space group Pmn2_1 (No. 31)
Symmetry-distinct sites (fractional):
1 Si 0.000 0.199 0.000 [2 per cell]
2 Si 0.000 0.703 0.001 [2 per cell]
3 Pd 0.000 0.930 0.503 [2 per cell]
4 Pt 0.000 0.423 0.500 [2 per cell]



Most favorable first, least favorable last: A, B



A | Compound: SmPdPt
Source: OQMD
Functional: PBE
Structure: optimized geometry

Computed properties:
For the total magnetization, the calculation gives 0.00 μB per formula unit.

Unit cell a=6.557 b=6.557 c=6.557 alpha=90.00 beta=90.00 gamma=90.00
Space group F-43m (No. 216)
Symmetry-distinct sites (fractional):
1 Sm 0.000 0.000 0.000 [4 per cell]
2 Pd 0.000 0.000 0.500 [4 per cell]
3 Pt 0.250 0.250 0.750 [4 per cell]



B | Compound: SmPdPt
Source: OQMD
Functional: PBE
Structure: optimized geometry

Computed properties:
For the total magnetization, the calculation gives 0.01 μB per formula unit.

Unit cell a=6.588 b=6.588 c=6.588 alpha=90.00 beta=90.00 gamma=90.00
Space group F-43m (No. 216)
Symmetry-distinct sites (fractional):
1 Sm 0.000 0.000 0.000 [4 per cell]
2 Pd 0.250 0.250 0.750 [4 per cell]
3 Pt 0.250 0.250 0.250 [4 per cell]



Most favorable first, least favorable last: A, B



A | Compound: SrPdPt
Source: OQMD
Functional: PBE
Structure: optimized geometry

Computed properties:
For the total magnetization, the calculation gives 0.01 μB per formula unit.

Unit cell a=5.540 b=5.605 c=7.909 alpha=90.00 beta=90.00 gamma=90.00
Space group Imma (No. 74)
Symmetry-distinct sites (fractional):
1 Sr 0.000 0.250 0.123 [4 per cell]
2 Pd 0.000 0.000 0.500 [4 per cell]
3 Pt 0.250 0.250 0.750 [4 per cell]



B | Compound: SrPdPt
Source: OQMD
Functional: PBE
Structure: optimized geometry

Computed properties:
For the total magnetization, the calculation gives 0.00 μB per formula unit.

Unit cell a=6.689 b=6.689 c=6.689 alpha=90.00 beta=90.00 gamma=90.00
Space group F-43m (No. 216)
Symmetry-distinct sites (fractional):
1 Sr 0.000 0.000 0.000 [4 per cell]
2 Pd 0.000 0.000 0.500 [4 per cell]
3 Pt 0.250 0.250 0.750 [4 per cell]



C | Compound: SrPdPt
Source: OQMD
Functional: PBE
Structure: optimized geometry

Computed properties:
For the total magnetization, the calculation gives 0.00 μB per formula unit.

Unit cell a=6.722 b=6.722 c=6.722 alpha=90.00 beta=90.00 gamma=90.00
Space group F-43m (No. 216)
Symmetry-distinct sites (fractional):
1 Sr 0.000 0.000 0.000 [4 per cell]
2 Pd 0.250 0.250 0.750 [4 per cell]
3 Pt 0.250 0.250 0.250 [4 per cell]



Most favorable first, least favorable last: A, B, C



A | Compound: ThPdPt
Source: OQMD
Functional: PBE
Structure: optimized geometry

Computed properties:
For the total magnetization, the calculation gives 0.00 μB per formula unit.

Unit cell a=4.192 b=4.192 c=7.279 alpha=90.00 beta=90.00 gamma=90.00
Space group P4/nmm (No. 129, origin choice 2)
Symmetry-distinct sites (fractional):
1 Th 0.250 0.250 0.187 [2 per cell]
2 Pd 0.250 0.750 0.500 [2 per cell]
3 Pt 0.250 0.250 0.775 [2 per cell]



B | Compound: ThPdPt
Source: OQMD
Functional: PBE
Structure: optimized geometry

Computed properties:
For the total magnetization, the calculation gives 0.00 μB per formula unit.

Unit cell a=6.617 b=6.617 c=6.617 alpha=90.00 beta=90.00 gamma=90.00
Space group F-43m (No. 216)
Symmetry-distinct sites (fractional):
1 Th 0.000 0.000 0.000 [4 per cell]
2 Pd 0.000 0.000 0.500 [4 per cell]
3 Pt 0.250 0.250 0.750 [4 per cell]



Most favorable first, least favorable last: A, B



A | Compound: PdPtW
Source: OQMD
Functional: PBE
Structure: optimized geometry

Computed properties:
For the total magnetization, the calculation gives 0.01 μB per formula unit.

Unit cell a=6.043 b=6.043 c=6.043 alpha=90.00 beta=90.00 gamma=90.00
Space group F-43m (No. 216)
Symmetry-distinct sites (fractional):
1 Pd 0.000 0.000 0.000 [4 per cell]
2 Pt 0.000 0.000 0.500 [4 per cell]
3 W 0.250 0.250 0.250 [4 per cell]



B | Compound: PdPtW
Source: OQMD
Functional: PBE
Structure: optimized geometry

Computed properties:
For the total magnetization, the calculation gives 0.74 μB per formula unit.

Unit cell a=6.037 b=6.037 c=6.037 alpha=90.00 beta=90.00 gamma=90.00
Space group F-43m (No. 216)
Symmetry-distinct sites (fractional):
1 Pd 0.000 0.000 0.000 [4 per cell]
2 Pt 0.250 0.250 0.250 [4 per cell]
3 W 0.000 0.000 0.500 [4 per cell]



Most favorable first, least favorable last: A, B



A | Compound: YPdPt
Source: OQMD
Functional: PBE
Structure: optimized geometry

Computed properties:
For the total magnetization, the calculation gives 0.00 μB per formula unit.

Unit cell a=6.475 b=6.475 c=6.475 alpha=90.00 beta=90.00 gamma=90.00
Space group F-43m (No. 216)
Symmetry-distinct sites (fractional):
1 Y 0.000 0.000 0.000 [4 per cell]
2 Pd 0.000 0.000 0.500 [4 per cell]
3 Pt 0.250 0.250 0.750 [4 per cell]



B | Compound: YPdPt
Source: OQMD
Functional: PBE
Structure: optimized geometry

Computed properties:
For the total magnetization, the calculation gives 0.00 μB per formula unit.

Unit cell a=6.489 b=6.489 c=6.489 alpha=90.00 beta=90.00 gamma=90.00
Space group F-43m (No. 216)
Symmetry-distinct sites (fractional):
1 Y 0.000 0.000 0.000 [4 per cell]
2 Pd 0.250 0.250 0.750 [4 per cell]
3 Pt 0.250 0.250 0.250 [4 per cell]



Most favorable first, least favorable last: A, B



A | Compound: PuRePd
Source: OQMD
Functional: PBE
Structure: optimized geometry

Computed properties:
For the total magnetization, the calculation gives 0.01 μB per formula unit.

Unit cell a=6.382 b=6.382 c=6.382 alpha=90.00 beta=90.00 gamma=90.00
Space group F-43m (No. 216)
Symmetry-distinct sites (fractional):
1 Pu 0.000 0.000 0.000 [4 per cell]
2 Re 0.000 0.000 0.500 [4 per cell]
3 Pd 0.250 0.250 0.250 [4 per cell]



B | Compound: PuRePd
Source: OQMD
Functional: PBE
Structure: optimized geometry

Computed properties:
For the total magnetization, the calculation gives 3.17 μB per formula unit.

Unit cell a=6.224 b=6.224 c=6.224 alpha=90.00 beta=90.00 gamma=90.00
Space group F-43m (No. 216)
Symmetry-distinct sites (fractional):
1 Pu 0.000 0.000 0.000 [4 per cell]
2 Re 0.250 0.250 0.750 [4 per cell]
3 Pd 0.250 0.250 0.250 [4 per cell]



Most favorable first, least favorable last: B, A



A | Compound: RbRePd
Source: OQMD
Functional: PBE
Structure: optimized geometry

Computed properties:
For the total magnetization, the calculation gives 4.07 μB per formula unit.

Unit cell a=7.045 b=7.045 c=7.045 alpha=90.00 beta=90.00 gamma=90.00
Space group F-43m (No. 216)
Symmetry-distinct sites (fractional):
1 Rb 0.000 0.000 0.000 [4 per cell]
2 Re 0.250 0.250 0.250 [4 per cell]
3 Pd 0.250 0.250 0.750 [4 per cell]



B | Compound: RbRePd
Source: OQMD
Functional: PBE
Structure: optimized geometry

Computed properties:
For the total magnetization, the calculation gives 4.11 μB per formula unit.

Unit cell a=6.897 b=6.897 c=6.897 alpha=90.00 beta=90.00 gamma=90.00
Space group F-43m (No. 216)
Symmetry-distinct sites (fractional):
1 Rb 0.000 0.000 0.000 [4 per cell]
2 Re 0.000 0.000 0.500 [4 per cell]
3 Pd 0.250 0.250 0.250 [4 per cell]



Most favorable first, least favorable last: B, A



A | Compound: RbScPdS3
Source: OQMD
Functional: PBE
Structure: optimized geometry

Computed properties:
For the total magnetization, the calculation gives 0.00 μB per formula unit.

Unit cell a=3.885 b=15.502 c=9.516 alpha=90.00 beta=90.00 gamma=90.00
Space group Cmcm (No. 63)
Symmetry-distinct sites (fractional):
1 Rb 0.000 0.243 0.250 [4 per cell]
2 Sc 0.000 0.000 0.000 [4 per cell]
3 Pd 0.000 0.490 0.750 [4 per cell]
4 S 0.000 0.081 0.750 [4 per cell]
5 S 0.000 0.392 0.560 [8 per cell]



B | Compound: RbScPdS3
Source: OQMD
Functional: PBE
Structure: optimized geometry

Computed properties:
For the total magnetization, the calculation gives 0.00 μB per formula unit.

Unit cell a=8.723 b=3.855 c=9.520 alpha=90.00 beta=110.51 gamma=90.00
Space group P2_1/m (No. 11)
Symmetry-distinct sites (fractional):
1 Rb 0.212 0.250 0.239 [2 per cell]
2 Sc 0.335 0.750 0.864 [2 per cell]
3 Pd 0.093 0.250 0.589 [2 per cell]
4 S 0.130 0.250 0.857 [2 per cell]
5 S 0.230 0.750 0.564 [2 per cell]
6 S 0.467 0.750 0.147 [2 per cell]



Most favorable first, least favorable last: B, A



A | Compound: RbTmPdS3
Source: OQMD
Functional: PBE
Structure: optimized geometry

Computed properties:
For the total magnetization, the calculation gives 0.01 μB per formula unit.

Unit cell a=8.845 b=4.020 c=9.587 alpha=90.00 beta=109.04 gamma=90.00
Space group P2_1/m (No. 11)
Symmetry-distinct sites (fractional):
1 Rb 0.204 0.250 0.232 [2 per cell]
2 Tm 0.333 0.750 0.859 [2 per cell]
3 Pd 0.092 0.250 0.586 [2 per cell]
4 S 0.124 0.250 0.853 [2 per cell]
5 S 0.209 0.750 0.550 [2 per cell]
6 S 0.463 0.750 0.151 [2 per cell]



B | Compound: RbTmPdS3
Source: OQMD
Functional: PBE
Structure: optimized geometry

Computed properties:
For the total magnetization, the calculation gives 0.00 μB per formula unit.

Unit cell a=4.044 b=15.621 c=9.720 alpha=90.00 beta=90.00 gamma=90.00
Space group Cmcm (No. 63)
Symmetry-distinct sites (fractional):
1 Rb 0.000 0.245 0.250 [4 per cell]
2 Tm 0.000 0.000 0.000 [4 per cell]
3 Pd 0.000 0.496 0.750 [4 per cell]
4 S 0.000 0.085 0.750 [4 per cell]
5 S 0.000 0.392 0.572 [8 per cell]



Most favorable first, least favorable last: A, B



A | Compound: Rb2Sb2Pd3
Source: OQMD
Functional: PBE
Structure: optimized geometry

Unit cell a=4.5696 b=4.5696 c=34.4116 alpha=90.00 beta=90.00 gamma=120.00
Space group R3m (No. 160, hexagonal axes)
Symmetry-distinct sites (fractional):
1 Rb 0.0000 0.0000 0.0000 [3 per cell]
2 Rb 0.0000 0.0000 0.4949 [3 per cell]
3 Sb 0.0000 0.0000 0.2471 [3 per cell]
4 Sb 0.0000 0.0000 0.7452 [3 per cell]
5 Pd 0.0000 0.0000 0.4027 [3 per cell]
6 Pd 0.0000 0.0000 0.5925 [3 per cell]
7 Pd 0.0000 0.0000 0.9011 [3 per cell]



B | Compound: Rb2Sb2Pd3
Source: OQMD
Functional: PBE
Structure: optimized geometry

Unit cell a=13.309 b=4.292 c=8.370 alpha=90.00 beta=122.88 gamma=90.00
Space group C2/m (No. 12)
Symmetry-distinct sites (fractional):
1 Rb 0.118 0.000 0.252 [4 per cell]
2 Sb 0.147 0.000 0.712 [4 per cell]
3 Pd 0.000 0.500 0.500 [2 per cell]
4 Pd 0.170 0.500 0.908 [4 per cell]



Most favorable first, least favorable last: B, A



A | Compound: RbSbPd
Source: OQMD
Functional: PBE
Structure: optimized geometry

Unit cell a=7.129 b=7.129 c=7.129 alpha=90.00 beta=90.00 gamma=90.00
Space group F-43m (No. 216)
Symmetry-distinct sites (fractional):
1 Rb 0.000 0.000 0.000 [4 per cell]
2 Sb 0.000 0.000 0.500 [4 per cell]
3 Pd 0.250 0.250 0.250 [4 per cell]



B | Compound: RbSbPd
Source: OQMD
Functional: PBE
Structure: optimized geometry

Unit cell a=7.488 b=7.488 c=7.488 alpha=90.00 beta=90.00 gamma=90.00
Space group F-43m (No. 216)
Symmetry-distinct sites (fractional):
1 Rb 0.000 0.000 0.000 [4 per cell]
2 Sb 0.250 0.250 0.250 [4 per cell]
3 Pd 0.250 0.250 0.750 [4 per cell]



Most favorable first, least favorable last: A, B



A | Compound: RbTcPd
Source: OQMD
Functional: PBE
Structure: optimized geometry

Computed properties:
For the total magnetization, the calculation gives 3.59 μB per formula unit.

Unit cell a=6.887 b=6.887 c=6.887 alpha=90.00 beta=90.00 gamma=90.00
Space group F-43m (No. 216)
Symmetry-distinct sites (fractional):
1 Rb 0.000 0.000 0.000 [4 per cell]
2 Tc 0.250 0.250 0.250 [4 per cell]
3 Pd 0.250 0.250 0.750 [4 per cell]



B | Compound: RbTcPd
Source: OQMD
Functional: PBE
Structure: optimized geometry

Computed properties:
For the total magnetization, the calculation gives 4.01 μB per formula unit.

Unit cell a=6.925 b=6.925 c=6.925 alpha=90.00 beta=90.00 gamma=90.00
Space group F-43m (No. 216)
Symmetry-distinct sites (fractional):
1 Rb 0.000 0.000 0.000 [4 per cell]
2 Tc 0.000 0.000 0.500 [4 per cell]
3 Pd 0.250 0.250 0.250 [4 per cell]



Most favorable first, least favorable last: B, A



A | Compound: SmRePd
Source: OQMD
Functional: PBE
Structure: optimized geometry

Computed properties:
For the total magnetization, the calculation gives 2.46 μB per formula unit.

Unit cell a=6.561 b=6.561 c=6.561 alpha=90.00 beta=90.00 gamma=90.00
Space group F-43m (No. 216)
Symmetry-distinct sites (fractional):
1 Sm 0.000 0.000 0.000 [4 per cell]
2 Re 0.250 0.250 0.250 [4 per cell]
3 Pd 0.250 0.250 0.750 [4 per cell]



B | Compound: SmRePd
Source: OQMD
Functional: PBE
Structure: optimized geometry

Computed properties:
For the total magnetization, the calculation gives 2.36 μB per formula unit.

Unit cell a=6.507 b=6.507 c=6.507 alpha=90.00 beta=90.00 gamma=90.00
Space group F-43m (No. 216)
Symmetry-distinct sites (fractional):
1 Sm 0.000 0.000 0.000 [4 per cell]
2 Re 0.000 0.000 0.500 [4 per cell]
3 Pd 0.250 0.250 0.750 [4 per cell]



Most favorable first, least favorable last: B, A